The following is a PBE calculation of a relaxed K2TiAgS4 crystal, from Alexandria.

The value obtained for the spin magnetization is 0.763 μB per formula unit. Its total energy is -73.58 eV for the cell shown.

It has space group I-42m (No. 121), with a = 7.8608 Å, b = 7.8608 Å, c = 6.4771 Å, α = 90.00°, β = 90.00° and γ = 90.00°. The asymmetric unit holds K at (0.0000, 0.5000, 0.0000), Ti at (0.0000, 0.0000, 0.0000), Ag at (0.0000, 0.0000, 0.5000) and S at (0.1621, 0.1621, 0.7826).